First-principles (PBE) data for a geometry-optimized CaPm2NdBi4 structure, as listed in Alexandria.

Calculated values
**Crystal system**: monoclinic
**ΔH_f (0 K)**: -6.9 eV/f.u.
**Symmetry**: No. 10
**Density of states at the Fermi level**: 4.06 states/eV/f.u.
**E_tot**: -4.834 eV/atom

a b c (Å): 4.5804 7.9875 7.9741
angles (deg): 70.70 90.00 90.00
Element x y z (fractional)
Pm  0.5000  0.0000  0.5000
Pm  0.0000  0.0000  0.0000
Bi  0.0000  0.2480  0.2507
Bi  0.5000  0.2472  0.7514
Bi  0.0000  0.7520  0.7493
Bi  0.5000  0.7528  0.2486
Ca  0.0000  0.5000  0.5000
Nd  0.5000  0.5000  0.0000

=====

First-principles (PBE) data for a geometry-optimized CaPdO structure, as listed in Alexandria.

Calculated values
**Crystal system**: tetragonal
**Symmetry**: No. 123
**Density of states at the Fermi level**: 0.34 states/eV/f.u.
**E_tot**: -5.639 eV/atom
**Uncorrected formation energy**: -1.5884 eV per atom

a b c (Å): 8.5552 4.7413 5.4360
angles (deg): 115.87 141.91 90.00
Element x y z (fractional)
Ca  0.9181  0.1719  0.4729
Ca  0.4182  0.1719  0.4729
Pd  0.6684  0.6720  0.4734
Pd  0.1682  0.6718  0.4730
O  0.4181  0.6719  0.4729
O  0.9181  0.6719  0.4729

=====

First-principles (PBE) data for a geometry-optimized MgAuBr2 structure, as listed in Alexandria.

Calculated values
**Crystal system**: trigonal
**Symmetry**: No. 166
**Density of states at the Fermi level**: 1.91 states/eV/f.u.
**E_tot**: -2.156 eV/atom
**Uncorrected formation energy**: -0.1016 eV per atom

a b c (Å): 8.7368 8.7368 8.7368
angles (deg): 27.19 27.19 27.19
Element x y z (fractional)
Au  0.5000  0.5000  0.5000
Br  0.8977  0.8977  0.8977
Br  0.1023  0.1023  0.1023
Mg  0.0000  0.0000  0.0000

=====

First-principles (PBE) data for a geometry-optimized Tb2PmDyEr4 structure, as listed in Alexandria.

Calculated values
**Crystal system**: monoclinic
**ΔH_f (0 K)**: 3.5 eV/f.u.
**Symmetry**: No. 15
**Density of states at the Fermi level**: 16.93 states/eV/f.u.
**E_tot**: -4.167 eV/atom

a b c (Å): 9.4620 9.4620 11.7156
angles (deg): 128.25 128.25 88.72
Each line ends with the local moment (μB).
Element x y z (fractional)
Tb  0.0000  0.0000  0.5000  0.34
Tb  0.5000  0.0000  0.5000  0.31
Tb  0.5000  0.0000  0.0000  0.31
Tb  0.5000  0.5000  0.0000  0.34
Dy  0.0000  0.0000  0.0000  0.34
Dy  0.5000  0.5000  0.5000  0.34
Er  0.7496  0.2487  0.9992  0.33
Er  0.2504  0.7513  0.0009  0.33
Er  0.2513  0.7504  0.5009  0.33
Er  0.7487  0.2496  0.4991  0.33
Er  0.7471  0.7489  0.9975  0.34
Er  0.7511  0.7529  0.5025  0.34
Er  0.2489  0.2471  0.4975  0.34
Er  0.2529  0.2511  0.0025  0.34
Pm  0.0000  0.5000  0.5000  0.29
Pm  0.0000  0.5000  0.0000  0.29